Here is a relaxed structure of GdErSn2 from Alexandria via LeMat-Bulk. Energies are from GGA-PBE.

The structure belongs to space group Fm-3m (No. 225); the cell edges are 7.5775, 7.5775 and 7.5775 Å and the angles 90.00°, 90.00° and 90.00°. The asymmetric unit holds Gd at (0.0000, 0.0000, 0.0000), Er at (0.0000, 0.0000, 0.5000) and Sn at (0.2500, 0.2500, 0.2500).

The total energy is -115.6 eV per cell. As for the formation energy: -0.5605 eV/atom. The value obtained for the distance to the lowest polymorph of the same formula is 87 meV per atom. For the calculated density, the calculation gives 8.6 g/cm3.

---

Here is a relaxed structure of TbY5Te4 from Alexandria via LeMat-Bulk. Energies are from GGA-PBE.

The structure belongs to space group Pmmn (No. 59, origin choice 2); the cell edges are 9.1530, 9.7832 and 7.4599 Å and the angles 90.00°, 90.00° and 90.00°. The asymmetric unit holds Tb at (0.2500, 0.2500, 0.1392), Y at (0.0549, 0.0568, 0.7610), Y at (0.2500, 0.7500, 0.7870), Te at (0.0190, 0.2500, 0.4385) and Te at (0.2500, 0.5478, 0.0815).

The total energy is -115.2 eV per cell. For the raw formation energy, the calculation gives -0.806 eV/atom. For the calculated density, the calculation gives 5.5 g/cm3.

---

Here is a relaxed structure of AlCoTc2Os from Alexandria via LeMat-Bulk. Energies are from GGA-PBE.

The structure belongs to space group P4/mmm (No. 123); the cell edges are 4.6795, 4.6795 and 4.6163 Å and the angles 90.00°, 90.00° and 90.00°. The asymmetric unit holds Al at (0.0000, 0.0000, 0.0000), Co at (0.5000, 0.5000, 0.0000), Tc at (0.0000, 0.5000, 0.5000) and Os at (0.0000, 0.0000, 0.5000).

The total energy is -34.9 eV per cell. As for the formation energy: 1.5920 eV/atom. For the calculated density, the calculation gives 7.8 g/cm3.

---

Here is a relaxed structure of NiAs from Alexandria via LeMat-Bulk. Energies are from GGA-PBE.

The structure belongs to space group Pmmn (No. 59, origin choice 2); the cell edges are 3.0959, 4.5942 and 3.9955 Å and the angles 90.00°, 90.00° and 90.00°. The asymmetric unit holds Ni at (0.2500, 0.2500, 0.1321) and As at (0.2500, 0.7500, 0.3426).

The total energy is -21.2 eV per cell. As for the formation energy: -0.0761 eV/atom. For the calculated density, the calculation gives 7.8 g/cm3.

---

> Look up the calculated density of the fourth one.

7.8 g/cm3

---

> Which value of calculated density does entry 2 give?

5.5 g/cm3